No. 1
DFT (PBE) results for a relaxed Pr4Nd2Er5 crystal.

Cell: 3.606 8.694 11.917 Å, 89.64 83.73 89.54°
Space group P-1 (No. 2)
Asymmetric unit:
Pr  0.010  0.205  0.472 x2
Pr  0.114  0.254  0.177 x2
Nd  0.149  0.650  0.101 x2
Er  0.409  0.076  0.717 x2
Er  0.456  0.471  0.649 x2
Er  0.500  0.000  0.000 x1

Summary:
Spin magnetization, μB per cell: 0.000
Electronic total energy, eV/atom: -4.6207
Formation energy from the elements, eV per atom: 0.058
ΔE to the lowest computed polymorph, eV per formula unit: 0.00

No. 2
DFT (PBE) results for a relaxed Pr3Nd8Er2 crystal.

Cell: 20.545 7.789 5.845 Å, 90.00 90.10 90.00°
Space group C2/m (No. 12)
Asymmetric unit:
Pr  0.000  0.000  0.000 x2
Pr  0.000  0.289  0.500 x4
Nd  0.109  0.292  0.001 x8
Nd  0.136  0.000  0.498 x4
Nd  0.175  0.500  0.503 x4
Er  0.241  0.000  0.996 x4

Summary:
Spin magnetization, μB per cell: 0.000
Electronic total energy, eV/atom: -4.5257
Formation energy from the elements, eV per atom: 0.213
ΔE to the lowest computed polymorph, eV per formula unit: 0.83

No. 3
DFT (PBE) results for a relaxed PrNdEr2 crystal.

Cell: 3.6172 3.6172 35.0371 Å, 90.00 90.00 120.00°
Space group R3m (No. 160, hexagonal axes)
Asymmetric unit:
Pr  0.0000  0.0000  0.0000 x3
Nd  0.0000  0.0000  0.1659 x3
Er  0.0000  0.0000  0.5819 x3
Er  0.0000  0.0000  0.7502 x3

Summary:
Spin magnetization, μB per cell: 0.001
Electronic total energy, eV/atom: -4.6439
Formation energy from the elements, eV per atom: 0.024
ΔE to the lowest computed polymorph, eV per formula unit: 0.04

No. 4
DFT (PBE) results for a relaxed PrNd3Er3 crystal.

Cell: 9.6798 9.6798 5.8010 Å, 90.00 90.00 120.00°
Space group P6_3/m (No. 176)
Asymmetric unit:
Pr  0.3333  0.6667  0.2500 x2
Nd  0.0957  0.4739  0.7500 x6
Er  0.0462  0.2315  0.2500 x6

Summary:
Spin magnetization, μB per cell: 0.000
Electronic total energy, eV/atom: -4.6554
Formation energy from the elements, eV per atom: 0.026
ΔE to the lowest computed polymorph, eV per formula unit: 0.00

No. 5
DFT (PBE) results for a relaxed Pr3Nd4Er5 crystal.

Cell: 16.165 6.018 9.432 Å, 90.00 116.43 90.00°
Space group C2/m (No. 12)
Asymmetric unit:
Pr  0.000  0.000  0.000 x2
Pr  0.212  0.500  0.237 x4
Nd  0.085  0.500  0.448 x4
Nd  0.209  0.500  0.883 x4
Er  0.000  0.500  0.000 x2
Er  0.070  0.000  0.697 x4
Er  0.171  0.000  0.383 x4

Summary:
Spin magnetization, μB per cell: 0.000
Electronic total energy, eV/atom: -4.4666
Formation energy from the elements, eV per atom: 0.219
ΔE to the lowest computed polymorph, eV per formula unit: 2.41

No. 6
DFT (PBE) results for a relaxed Pr2Nd6Er3 crystal.

Cell: 6.302 8.119 8.151 Å, 107.47 97.35 104.83°
Space group P-1 (No. 2)
Asymmetric unit:
Pr  0.229  0.410  0.049 x2
Nd  0.046  0.683  0.411 x2
Nd  0.137  0.046  0.232 x2
Nd  0.319  0.774  0.864 x2
Er  0.410  0.136  0.679 x2
Er  0.500  0.500  0.500 x1

Summary:
Spin magnetization, μB per cell: 0.000
Electronic total energy, eV/atom: -4.6974
Formation energy from the elements, eV per atom: 0.017
ΔE to the lowest computed polymorph, eV per formula unit: 0.00

No. 7
DFT (PBE) results for a relaxed Pr6NdEr12 crystal.

Cell: 13.2709 13.2709 12.6630 Å, 90.00 90.00 120.00°
Space group R-3m (No. 166, hexagonal axes)
Asymmetric unit:
Pr  0.0365  0.5182  0.1177 x18
Nd  0.0000  0.0000  0.5000 x3
Er  0.0000  0.2555  0.0000 x18
Er  0.0917  0.1834  0.7641 x18

Summary:
Spin magnetization, μB per cell: 0.001
Electronic total energy, eV/atom: -4.4241
Formation energy from the elements, eV per atom: 0.218

No. 8
DFT (PBE) results for a relaxed Pr2NdEr crystal.

Cell: 8.215 8.215 8.215 Å, 90.00 90.00 90.00°
Space group Fm-3m (No. 225)
Asymmetric unit:
Pr  0.250  0.250  0.250 x8
Nd  0.000  0.000  0.000 x4
Er  0.000  0.000  0.500 x4

Summary:
Spin magnetization, μB per cell: 0.006
Electronic total energy, eV/atom: -4.5988
Formation energy from the elements, eV per atom: 0.124
ΔE to the lowest computed polymorph, eV per formula unit: 0.44

No. 9
DFT (PBE) results for a relaxed PrNd2Er crystal.

Cell: 5.148 5.148 5.164 Å, 90.00 90.00 90.00°
Space group P4/mmm (No. 123)
Asymmetric unit:
Pr  0.000  0.000  0.000 x1
Nd  0.000  0.500  0.500 x2
Er  0.500  0.500  0.000 x1

Summary:
Spin magnetization, μB per cell: 0.001
Electronic total energy, eV/atom: -4.7047
Formation energy from the elements, eV per atom: 0.015
ΔE to the lowest computed polymorph, eV per formula unit: 0.00

No. 10
DFT (PBE) results for a relaxed Pr2Nd3Er6 crystal.

Cell: 4.781 4.781 33.216 Å, 90.00 90.00 90.00°
Space group I4/mmm (No. 139)
Asymmetric unit:
Pr  0.000  0.000  0.047 x4
Nd  0.000  0.000  0.295 x4
Nd  0.000  0.000  0.500 x2
Er  0.000  0.000  0.192 x4
Er  0.000  0.500  0.121 x8

Summary:
Spin magnetization, μB per cell: 0.000
Electronic total energy, eV/atom: -4.4036
Formation energy from the elements, eV per atom: 0.255
ΔE to the lowest computed polymorph, eV per formula unit: 0.78

No. 11
DFT (PBE) results for a relaxed Pr2Nd2Er3 crystal.

Cell: 6.411 11.603 6.456 Å, 90.00 96.03 90.00°
Space group P2_1/c (No. 14)
Asymmetric unit:
Pr  0.042  0.151  0.461 x4
Nd  0.392  0.722  0.719 x4
Er  0.244  0.040  0.958 x4
Er  0.500  0.000  0.500 x2

Summary:
Spin magnetization, μB per cell: 0.000
Electronic total energy, eV/atom: -4.5041
Formation energy from the elements, eV per atom: 0.179
ΔE to the lowest computed polymorph, eV per formula unit: 1.12